Record 1
DFT (GGA-PBE) results for SrCu2Ni after structural relaxation.

Crystal system ... monoclinic
Density of states at the Fermi level ... 1.8 states/eV per cell
Formation enthalpy at 0 K ... 0.17 eV per atom
Space-group type ... P2/m

Unit cell a=4.1641 b=4.5596 c=4.4338 alpha=79.75 beta=90.00 gamma=90.00
Closest atoms and distances in Å follow each position.
Fractional coordinates of all 4 atoms:
Cu 0.0000 0.0100 0.1897  2 Cu 2.34, 2 Ni 2.39
Cu 0.0000 0.4900 0.3103  2 Cu 2.34, 2 Ni 2.39
Ni 0.5000 0.2500 0.2500  4 Cu 2.39
Sr 0.5000 0.7500 0.7500  2 Ni 2.88, 4 Cu 3.22



Record 2
DFT (GGA-PBE) results for Ta2VP2 after structural relaxation.

Crystal system ... tetragonal
Density of states at the Fermi level ... 7.0 states/eV per cell
Formation enthalpy at 0 K ... -0.63 eV per atom
Space-group type ... P4/mbm

Unit cell a=6.4591 b=6.4591 c=3.4784 alpha=90.00 beta=90.00 gamma=90.00
Closest atoms and distances in Å follow each position.
Fractional coordinates of all 10 atoms:
P 0.3554 0.8554 0.0000  2 V 2.48, 6 Ta 2.50-2.62, 1 P 2.64
P 0.8554 0.6446 0.0000  2 V 2.48, 6 Ta 2.50-2.62, 1 P 2.64
P 0.6446 0.1446 0.0000  2 V 2.48, 6 Ta 2.50-2.62, 1 P 2.64
P 0.1446 0.3554 0.0000  2 V 2.48, 6 Ta 2.50-2.62, 1 P 2.64
Ta 0.1584 0.6584 0.5000  6 P 2.50-2.62
Ta 0.6584 0.8416 0.5000  6 P 2.50-2.62
Ta 0.8416 0.3416 0.5000  6 P 2.50-2.62
Ta 0.3416 0.1584 0.5000  6 P 2.50-2.62
V 0.0000 0.0000 0.0000  4 P 2.48
V 0.5000 0.5000 0.0000  4 P 2.48



Record 3
DFT (GGA-PBE) results for Ho5Er2Sc12 after structural relaxation.

Crystal system ... monoclinic
Density of states at the Fermi level ... 27.5 states/eV per cell
Formation enthalpy at 0 K ... 0.13 eV per atom
Space-group type ... C2/m

Unit cell a=8.6484 b=8.4936 c=8.2104 alpha=92.68 beta=90.00 gamma=120.60
Closest atoms and distances in Å follow each position.
Fractional coordinates of all 19 atoms:
Ho 0.2345 0.4691 0.5739  8 Sc 3.16-3.53, 2 Ho 3.42-3.45
Ho 0.2876 0.5751 0.9848  8 Sc 3.28-3.62, 1 Ho 3.42, 2 Er 3.46
Ho 0.0000 0.0000 0.5000  10 Sc 3.16-3.52, 2 Ho 3.45
Ho 0.7124 0.4249 0.0152  8 Sc 3.28-3.62, 1 Ho 3.42, 2 Er 3.46
Ho 0.7655 0.5309 0.4261  8 Sc 3.16-3.53, 2 Ho 3.42-3.45
Er 0.6780 0.0000 0.0000  1 Er 3.08, 8 Sc 3.13-3.41
Er 0.3220 0.0000 0.0000  1 Er 3.08, 8 Sc 3.13-3.41
Sc 0.9308 0.8616 0.1291  3 Sc 3.01-3.32, 2 Ho 3.16-3.28, 2 Er 3.17
Sc 0.0308 0.7058 0.7529  3 Sc 3.08-3.31, 1 Er 3.13, 3 Ho 3.29-3.43
Sc 0.6750 0.7058 0.7529  3 Sc 3.08-3.31, 1 Er 3.13, 3 Ho 3.29-3.43
Sc 0.1818 0.7411 0.3334  5 Sc 3.12-3.32, 3 Ho 3.21-3.46, 1 Er 3.41
Sc 0.5593 0.7411 0.3334  5 Sc 3.12-3.32, 3 Ho 3.21-3.46, 1 Er 3.41
Sc 0.4475 0.8950 0.6627  7 Sc 3.12-3.30, 1 Ho 3.16, 2 Er 3.22
Sc 0.5525 0.1050 0.3373  7 Sc 3.12-3.30, 1 Ho 3.16, 2 Er 3.22
Sc 0.8182 0.2589 0.6666  5 Sc 3.12-3.32, 3 Ho 3.21-3.46, 1 Er 3.41
Sc 0.4407 0.2589 0.6666  5 Sc 3.12-3.32, 3 Ho 3.21-3.46, 1 Er 3.41
Sc 0.9692 0.2942 0.2471  3 Sc 3.08-3.31, 1 Er 3.13, 3 Ho 3.29-3.43
Sc 0.3250 0.2942 0.2471  3 Sc 3.08-3.31, 1 Er 3.13, 3 Ho 3.29-3.43
Sc 0.0692 0.1384 0.8709  3 Sc 3.01-3.32, 2 Ho 3.16-3.28, 2 Er 3.17



Record 4
DFT (GGA-PBE) results for Ca5TmAu6 after structural relaxation.

Crystal system ... monoclinic
Density of states at the Fermi level ... 7.6 states/eV per cell
Formation enthalpy at 0 K ... -0.80 eV per atom
Space-group type ... C2/m

Unit cell a=5.1170 b=8.8925 c=8.8925 alpha=120.01 beta=106.92 gamma=106.92
Closest atoms and distances in Å follow each position.
Fractional coordinates of all 12 atoms:
Ca 0.5000 0.1718 0.8282  8 Au 3.09-3.21
Ca 0.0000 0.3360 0.6640  8 Au 3.16-3.22
Ca 0.5000 0.5000 0.5000  8 Au 3.10-3.25
Ca 0.0000 0.6640 0.3360  8 Au 3.16-3.22
Ca 0.5000 0.8282 0.1718  8 Au 3.09-3.21
Tm 0.0000 0.0000 0.0000  8 Au 3.01-3.04
Au 0.2409 0.0801 0.3992  1 Tm 3.01, 7 Ca 3.09-3.22
Au 0.7591 0.6008 0.9199  1 Tm 3.01, 7 Ca 3.09-3.22
Au 0.7275 0.2266 0.2266  2 Tm 3.03-3.04, 6 Ca 3.11-3.25, 1 Au 3.28
Au 0.2725 0.7734 0.7734  2 Tm 3.03-3.04, 6 Ca 3.11-3.25, 1 Au 3.28
Au 0.2409 0.3992 0.0801  1 Tm 3.01, 7 Ca 3.09-3.22
Au 0.7591 0.9199 0.6008  1 Tm 3.01, 7 Ca 3.09-3.22



Record 5
DFT (GGA-PBE) results for Sb2Te3 after structural relaxation.

Crystal system ... monoclinic
Density of states at the Fermi level ... 3.8 states/eV per cell
Space-group type ... C2/c
Formation energy without anion corrections ... 0.0 kJ per mole of atoms

Unit cell a=6.6211 b=6.6211 c=7.6407 alpha=79.60 beta=79.60 gamma=81.44
Closest atoms and distances in Å follow each position.
Fractional coordinates of all 10 atoms:
Sb 0.5800 0.8225 0.3654  4 Te 2.94-3.15
Sb 0.1775 0.4200 0.1346  4 Te 2.94-3.15
Sb 0.4200 0.1775 0.6346  4 Te 2.94-3.15
Sb 0.8225 0.5800 0.8654  4 Te 2.94-3.15
Te 0.9880 0.7600 0.4813  2 Sb 2.94-3.03, 1 Te 3.27
Te 0.2400 0.0120 0.0187  2 Sb 2.94-3.03, 1 Te 3.27
Te 0.0120 0.2400 0.5187  2 Sb 2.94-3.03, 1 Te 3.27
Te 0.7600 0.9880 0.9813  2 Sb 2.94-3.03, 1 Te 3.27
Te 0.3933 0.6067 0.7500  4 Sb 3.10-3.15
Te 0.6067 0.3933 0.2500  4 Sb 3.10-3.15



Record 6
DFT (GGA-PBE) results for TmMg2Sn3 after structural relaxation.

Crystal system ... trigonal
Density of states at the Fermi level ... 3.0 states/eV per cell
Formation enthalpy at 0 K ... -0.28 eV per atom
Space-group type ... P-3m1
Offset from the most stable computed form ... 5.7 kJ per mole of atoms

Unit cell a=5.1130 b=5.1130 c=6.5092 alpha=90.00 beta=90.00 gamma=120.00
Closest atoms and distances in Å follow each position.
Fractional coordinates of all 6 atoms:
Tm 0.0000 0.0000 0.0000  8 Sn 3.25-3.27, 6 Mg 3.56
Mg 0.6667 0.3333 0.3058  7 Sn 3.01-3.21
Mg 0.3333 0.6667 0.6942  7 Sn 3.01-3.21
Sn 0.0000 0.0000 0.5000  6 Mg 3.21, 2 Tm 3.25, 6 Sn 3.49
Sn 0.6667 0.3333 0.7847  4 Mg 3.01-3.12, 3 Tm 3.27
Sn 0.3333 0.6667 0.2153  4 Mg 3.01-3.12, 3 Tm 3.27



Record 7
DFT (GGA-PBE) results for HfAgPb3 after structural relaxation.

Crystal system ... cubic
Density of states at the Fermi level ... 6.3 states/eV per cell
Formation enthalpy at 0 K ... 0.84 eV per atom
Space-group type ... Pm-3m
Offset from the most stable computed form ... 25.5 kJ per mole of atoms

Unit cell a=5.4101 b=5.4101 c=5.4101 alpha=90.00 beta=90.00 gamma=90.00
Closest atoms and distances in Å follow each position.
Fractional coordinates of all 5 atoms:
Pb 0.0000 0.5000 0.0000  2 Ag 2.71
Pb 0.0000 0.0000 0.5000  2 Ag 2.71
Pb 0.5000 0.0000 0.0000  2 Ag 2.71
Hf 0.5000 0.5000 0.5000  12 Pb 3.83
Ag 0.0000 0.0000 0.0000  6 Pb 2.71



Record 8
DFT (GGA-PBE) results for Rb4Np3AgSe8 after structural relaxation.

Crystal system ... trigonal
Density of states at the Fermi level ... 32.4 states/eV per cell
Space-group type ... R-3m
Formation energy without anion corrections ... -105.6 kJ per mole of atoms

Unit cell a=8.5366 b=9.3493 c=8.5387 alpha=117.18 beta=119.99 gamma=90.00
Closest atoms and distances in Å follow each position.
Fractional coordinates of all 16 atoms:
Rb 0.5000 0.0000 0.0000  6 Se 3.40-3.41
Rb 0.5000 0.0000 0.5000  6 Se 3.45-3.51
Rb 0.0000 0.0000 0.0000  6 Se 3.45-3.50
Rb 0.0000 0.0000 0.5000  6 Se 3.45-3.51
Np 0.5000 0.5000 0.0000  6 Se 2.86-2.92
Np 0.5000 0.5000 0.5000  6 Se 2.86-2.91
Np 0.0000 0.5000 0.5000  6 Se 2.86-2.91
Ag 0.0000 0.5000 0.0000  6 Se 2.98
Se 0.2369 0.6924 0.9551  2 Np 2.86, 1 Ag 2.98
Se 0.2373 0.6925 0.4745  2 Np 2.86, 1 Ag 2.98
Se 0.2680 0.3042 0.5360  3 Np 2.91-2.92
Se 0.7182 0.6924 0.9551  2 Np 2.86, 1 Ag 2.98
Se 0.2818 0.3076 0.0449  2 Np 2.86, 1 Ag 2.98
Se 0.7320 0.6958 0.4640  3 Np 2.91-2.92
Se 0.7627 0.3075 0.5255  2 Np 2.86, 1 Ag 2.98
Se 0.7631 0.3076 0.0449  2 Np 2.86, 1 Ag 2.98



Record 9
DFT (GGA-PBE) results for TlBi2Pd8 after structural relaxation.

Crystal system ... monoclinic
Density of states at the Fermi level ... 4.8 states/eV per cell
Formation enthalpy at 0 K ... -0.22 eV per atom
Space-group type ... C2/m
Offset from the most stable computed form ... 0.0 kJ per mole of atoms

Unit cell a=4.2146 b=6.5504 c=7.8383 alpha=107.66 beta=105.60 gamma=90.00
Closest atoms and distances in Å follow each position.
Fractional coordinates of all 11 atoms:
Tl 0.5000 0.0000 0.0000  12 Pd 2.84-3.00
Bi 0.7925 0.3390 0.5850  9 Pd 2.77-3.01
Bi 0.2075 0.6610 0.4150  9 Pd 2.77-3.01
Pd 0.4150 0.5463 0.8300  8 Pd 2.81-3.03, 1 Tl 2.84, 2 Bi 2.85
Pd 0.6753 0.9183 0.3506  3 Bi 2.77-2.83, 1 Tl 2.86, 8 Pd 2.91-3.05
Pd 0.8563 0.8058 0.7126  3 Bi 2.90-3.01, 7 Pd 2.91-3.05, 2 Tl 3.00
Pd 0.9634 0.2668 0.9267  1 Bi 2.77, 9 Pd 2.81-3.03, 2 Tl 2.90
Pd 0.1437 0.1942 0.2874  3 Bi 2.90-3.01, 7 Pd 2.91-3.05, 2 Tl 3.00
Pd 0.3247 0.0817 0.6494  3 Bi 2.77-2.83, 1 Tl 2.86, 8 Pd 2.91-3.05
Pd 0.5850 0.4537 0.1700  8 Pd 2.81-3.03, 1 Tl 2.84, 2 Bi 2.85
Pd 0.0366 0.7332 0.0733  1 Bi 2.77, 9 Pd 2.81-3.03, 2 Tl 2.90



Record 10
DFT (GGA-PBE) results for Na4BiH after structural relaxation.

Crystal system ... monoclinic
Space-group type ... P2_1/c
Offset from the most stable computed form ... 3.2 kJ per mole of atoms

Unit cell a=9.2151 b=5.9018 c=6.3926 alpha=90.00 beta=116.03 gamma=90.00
Closest atoms and distances in Å follow each position.
Fractional coordinates of all 12 atoms:
Na 0.8746 0.5227 0.1190  1 H 2.19
Na 0.6254 0.0227 0.8810  1 H 2.19
Na 0.3356 0.3117 0.4627  1 H 2.33
Na 0.1644 0.8117 0.5373  1 H 2.33
Na 0.1254 0.4773 0.8810  1 H 2.19
Na 0.3746 0.9773 0.1190  1 H 2.19
Na 0.6644 0.6883 0.5373  1 H 2.33
Na 0.8356 0.1883 0.4627  1 H 2.33
Bi 0.0000 0.0000 0.0000  8 Na 3.20-3.49
Bi 0.5000 0.5000 0.0000  8 Na 3.20-3.49
H 0.5000 0.0000 0.5000  4 Na 2.19-2.33
H 0.0000 0.5000 0.5000  4 Na 2.19-2.33